# ErPaCS2

ErPaCS2 after structural relaxation (GGA-PBE, the Alexandria database).

a = 3.8534 Å, b = 3.8534 Å, c = 13.7798 Å
α = 90.00°, β = 90.00°, γ = 90.00°
Last column: nearest neighbours and their distance in Å.
Fractional coordinates of all 10 atoms:
Er 0.5000 0.0000 0.1166  5 S 2.57-2.75
Er 0.0000 0.5000 0.8834  5 S 2.57-2.75
S 0.0000 0.5000 0.6972  1 Er 2.57
S 0.5000 0.0000 0.9079  5 Er 2.75-2.88
S 0.5000 0.0000 0.3028  1 Er 2.57
S 0.0000 0.5000 0.0921  5 Er 2.75-2.88
C 0.0000 0.0000 0.5000  4 Pa 2.29
C 0.5000 0.5000 0.5000  4 Pa 2.29
Pa 0.5000 0.0000 0.5903  4 C 2.29
Pa 0.0000 0.5000 0.4097  4 C 2.29

Summary:
Total magnetic moment (Bohr magnetons per cell): 0.00
E_form (uncorrected) (meV/atom): -1384.7
SG: P4/nmm
DOS(E_F) (states/eV per cell): 5.3
Electronic total energy (eV per atom): -7.6922

=====

# ErPaCS

ErPaCS after structural relaxation (GGA-PBE, the Alexandria database).

a = 3.6790 Å, b = 3.6790 Å, c = 6.6571 Å
α = 73.96°, β = 73.96°, γ = 60.00°
Last column: nearest neighbours and their distance in Å.
Fractional coordinates of all 4 atoms:
S 0.6933 0.6933 0.9202  3 Er 2.75, 3 Pa 2.82
Er 0.9342 0.9342 0.1974  3 C 2.57, 3 S 2.75
C 0.1908 0.1908 0.4276  3 Pa 2.46, 3 Er 2.57
Pa 0.4582 0.4582 0.6255  3 C 2.46

Summary:
Total magnetic moment (Bohr magnetons per cell): 0.00
E_form (uncorrected) (meV/atom): -1205.3
SG: R3m
DOS(E_F) (states/eV per cell): 2.1
Electronic total energy (eV per atom): -8.0578

=====

# ErSc2PaC4

ErSc2PaC4 after structural relaxation (GGA-PBE, the Alexandria database).

a = 3.4810 Å, b = 5.9455 Å, c = 6.0107 Å
α = 69.92°, β = 90.00°, γ = 90.00°
Last column: nearest neighbours and their distance in Å.
Fractional coordinates of all 8 atoms:
Sc 0.5000 0.0000 0.5000  6 C 2.46-2.47
Sc 0.0000 0.0000 0.0000  6 C 2.40
C 0.0000 0.2489 0.2413  3 Sc 2.40-2.46, 2 Pa 2.42, 1 Er 2.50
C 0.0000 0.7511 0.7587  3 Sc 2.40-2.46, 2 Pa 2.42, 1 Er 2.50
C 0.5000 0.2436 0.7607  3 Sc 2.40-2.47, 1 Pa 2.43, 2 Er 2.48
C 0.5000 0.7564 0.2393  3 Sc 2.40-2.47, 1 Pa 2.43, 2 Er 2.48
Er 0.0000 0.5000 0.5000  6 C 2.48-2.50
Pa 0.5000 0.5000 0.0000  6 C 2.42-2.43

Summary:
Total magnetic moment (Bohr magnetons per cell): 0.00
SG: P2/m
DOS(E_F) (states/eV per cell): 9.4
Formation energy (eV per atom): -0.27
Electronic total energy (eV per atom): -8.2239